# Ce3SmSc2As6 PBE optimized geometry
# E_tot in eV for the cell shown: -159.80
data_Ce3SmSc2As6
_chemical_formula_sum 'Ce6 Sm2 Sc4 As12'
_symmetry_space_group_name_H-M 'C 1 2/m 1'
_symmetry_Int_Tables_number 12
_symmetry_space_group_name_Hall '-C 2y'
_cell_length_a 7.1301
_cell_length_b 12.3523
_cell_length_c 7.0931
_cell_angle_alpha 90.00
_cell_angle_beta 109.65
_cell_angle_gamma 90.00
loop_
_atom_site_label
_atom_site_fract_x
_atom_site_fract_y
_atom_site_fract_z
_atom_site_occupancy
Ce1 0.0000 0.0000 0.0000 1
Ce2 0.0000 0.3364 0.0000 1
Sm1 0.0000 0.5000 0.5000 1
Sc1 0.0000 0.1678 0.5000 1
As1 0.2334 0.0000 0.7354 1
As2 0.2479 0.1723 0.2608 1